1.
A plane-wave DFT calculation with PBE was carried out for a relaxed structure of Sr5Cd2Rh.

Cell: 9.254 13.766 4.695 Å, 90.00 90.00 90.00°
Atoms (fractional coordinates):
Sr  0.000  0.000  0.000
Sr  0.152  0.311  0.000
Sr  0.170  0.576  0.500
Sr  0.330  0.076  0.500
Sr  0.348  0.811  0.000
Sr  0.500  0.500  0.000
Sr  0.652  0.189  0.000
Sr  0.670  0.924  0.500
Sr  0.830  0.424  0.500
Sr  0.848  0.689  0.000
Cd  0.055  0.826  0.500
Cd  0.445  0.326  0.500
Cd  0.555  0.674  0.500
Cd  0.945  0.174  0.500
Rh  0.000  0.500  0.000
Rh  0.500  0.000  0.000

Output
* DOS at the Fermi energy: 0.734 states/eV/atom
* total moment: 0.0 Bohr magnetons per cell
* E_form: -250 meV/atom

***

2.
A plane-wave DFT calculation with PBE was carried out for a relaxed structure of Ca3NbRe.

Cell: 5.380 5.380 5.380 Å, 90.00 90.00 90.00°
Atoms (fractional coordinates):
Ca  0.000  0.000  0.500
Ca  0.000  0.500  0.000
Ca  0.500  0.000  0.000
Nb  0.500  0.500  0.500
Re  0.000  0.000  0.000

Output
* DOS at the Fermi energy: 3.544 states/eV/atom
* E above lowest polymorph: 0.000 eV per atom
* total moment: 0.0 Bohr magnetons per cell
* E_form: 1587 meV/atom

***

3.
A plane-wave DFT calculation with PBE was carried out for a relaxed structure of VCr3Re2.

Cell: 4.954 4.954 8.292 Å, 90.00 90.00 128.99°
Atoms (fractional coordinates):
V  0.167  0.833  0.000
V  0.833  0.167  0.000
Cr  0.000  0.000  0.246
Cr  0.000  0.000  0.754
Cr  0.332  0.668  0.246
Cr  0.332  0.668  0.754
Cr  0.668  0.332  0.246
Cr  0.668  0.332  0.754
Re  0.166  0.834  0.500
Re  0.500  0.500  0.000
Re  0.500  0.500  0.500
Re  0.834  0.166  0.500

Output
* DOS at the Fermi energy: 0.821 states/eV/atom
* E above lowest polymorph: 0.000 eV per atom
* total moment: 0.0 Bohr magnetons per cell
* E_form: -21 meV/atom

***

4.
A plane-wave DFT calculation with PBE was carried out for a relaxed structure of Tb6NdHo3Tm2.

Cell: 6.142 6.142 11.762 Å, 94.97 94.97 119.96°
Atoms (fractional coordinates):
Tb  0.081  0.416  0.249
Tb  0.250  0.250  0.751
Tb  0.416  0.081  0.249
Tb  0.584  0.919  0.751
Tb  0.750  0.750  0.249
Tb  0.919  0.584  0.751
Nd  0.500  0.500  0.500
Ho  0.000  0.000  0.000
Ho  0.333  0.667  0.000
Ho  0.667  0.333  0.000
Tm  0.167  0.833  0.500
Tm  0.833  0.167  0.500

Output
* DOS at the Fermi energy: 1.269 states/eV/atom
* total moment: 0.0 Bohr magnetons per cell
* E_form: 17 meV/atom

***

5.
A plane-wave DFT calculation with PBE was carried out for a relaxed structure of Ca5Hg2N.

Cell: 9.016 6.903 14.082 Å, 90.00 90.00 90.00°
Atoms (fractional coordinates):
Ca  0.000  0.000  0.000
Ca  0.000  0.500  0.000
Ca  0.045  0.250  0.203
Ca  0.157  0.502  0.606
Ca  0.157  0.998  0.606
Ca  0.224  0.750  0.391
Ca  0.276  0.250  0.891
Ca  0.343  0.002  0.106
Ca  0.343  0.498  0.106
Ca  0.455  0.750  0.703
Ca  0.500  0.000  0.500
Ca  0.500  0.500  0.500
Ca  0.545  0.250  0.297
Ca  0.657  0.502  0.894
Ca  0.657  0.998  0.894
Ca  0.724  0.750  0.109
Ca  0.776  0.250  0.609
Ca  0.843  0.002  0.394
Ca  0.843  0.498  0.394
Ca  0.955  0.750  0.797
Hg  0.034  0.750  0.209
Hg  0.192  0.250  0.409
Hg  0.308  0.750  0.909
Hg  0.466  0.250  0.709
Hg  0.534  0.750  0.291
Hg  0.692  0.250  0.091
Hg  0.808  0.750  0.591
Hg  0.966  0.250  0.791
N  0.177  0.250  0.056
N  0.323  0.750  0.556
N  0.677  0.250  0.444
N  0.823  0.750  0.944

Output
* E_tot: -2.916 eV per atom
* DOS at the Fermi energy: 0.475 states/eV/atom
* total moment: 0.0 Bohr magnetons per cell

***

6.
A plane-wave DFT calculation with PBE was carried out for a relaxed structure of Zn2NiPb2.

Cell: 6.562 6.562 4.940 Å, 90.00 90.00 90.00°
Atoms (fractional coordinates):
Zn  0.147  0.353  0.000
Zn  0.353  0.853  0.000
Zn  0.647  0.147  0.000
Zn  0.853  0.647  0.000
Ni  0.000  0.000  0.000
Ni  0.500  0.500  0.000
Pb  0.183  0.683  0.500
Pb  0.317  0.183  0.500
Pb  0.683  0.817  0.500
Pb  0.817  0.317  0.500

Output
* DOS at the Fermi energy: 0.412 states/eV/atom
* total moment: 0.0 Bohr magnetons per cell
* E_form: 223 meV/atom

***

7.
A plane-wave DFT calculation with PBE was carried out for a relaxed structure of NaCdGa3.

Cell: 6.930 6.930 6.930 Å, 145.27 145.27 49.94°
Atoms (fractional coordinates):
Na  0.000  0.000  0.000
Cd  0.387  0.387  0.000
Ga  0.232  0.732  0.500
Ga  0.599  0.599  0.000
Ga  0.732  0.232  0.500

Output
* DOS at the Fermi energy: 0.195 states/eV/atom
* E above lowest polymorph: 0.000 eV per atom
* total moment: 0.0 Bohr magnetons per cell
* E_form: -92 meV/atom

***

8.
A plane-wave DFT calculation with PBE was carried out for a relaxed structure of BaSc2O4.

Cell: 10.152 3.271 11.608 Å, 90.00 90.00 90.00°
Atoms (fractional coordinates):
Ba  0.246  0.250  0.154
Ba  0.254  0.750  0.654
Ba  0.746  0.250  0.346
Ba  0.754  0.750  0.846
Sc  0.070  0.250  0.393
Sc  0.076  0.250  0.895
Sc  0.424  0.750  0.395
Sc  0.430  0.750  0.893
Sc  0.570  0.250  0.107
Sc  0.576  0.250  0.605
Sc  0.924  0.750  0.105
Sc  0.930  0.750  0.607
O  0.022  0.750  0.784
O  0.067  0.250  0.572
O  0.108  0.750  0.017
O  0.207  0.750  0.356
O  0.293  0.250  0.856
O  0.392  0.250  0.517
O  0.433  0.750  0.072
O  0.478  0.250  0.284
O  0.522  0.750  0.716
O  0.567  0.250  0.928
O  0.608  0.750  0.483
O  0.707  0.750  0.144
O  0.793  0.250  0.644
O  0.892  0.250  0.983
O  0.933  0.750  0.428
O  0.978  0.250  0.216

Output
* DOS at the Fermi energy: 0.000 states/eV/atom
* E above lowest polymorph: 0.060 eV per atom
* total moment: 0.0 Bohr magnetons per cell

***

9.
A plane-wave DFT calculation with PBE was carried out for a relaxed structure of ErIO5.

Cell: 5.456 5.456 7.643 Å, 110.53 110.53 71.45°
Atoms (fractional coordinates):
Er  0.038  0.962  0.750
Er  0.962  0.038  0.250
I  0.500  0.500  0.000
I  0.500  0.500  0.500
O  0.197  0.784  0.028
O  0.216  0.803  0.472
O  0.258  0.285  0.383
O  0.285  0.258  0.883
O  0.410  0.590  0.750
O  0.590  0.410  0.250
O  0.715  0.742  0.117
O  0.742  0.715  0.617
O  0.784  0.197  0.528
O  0.803  0.216  0.972

Output
* E_tot: -5.864 eV per atom
* total moment: 0.0 Bohr magnetons per cell

***

10.
A plane-wave DFT calculation with PBE was carried out for a relaxed structure of Ca2NdY.

Cell: 7.185 7.185 3.713 Å, 104.93 104.93 118.22°
Atoms (fractional coordinates):
Ca  0.249  0.751  0.000
Ca  0.751  0.249  0.000
Nd  0.665  0.665  0.663
Y  0.165  0.165  0.663

Output
* DOS at the Fermi energy: 1.626 states/eV/atom
* E above lowest polymorph: 0.000 eV per atom
* total moment: 0.0 Bohr magnetons per cell
* E_form: 100 meV/atom

***

11.
A plane-wave DFT calculation with PBE was carried out for a relaxed structure of Ac2AlGe3Au4.

Cell: 4.556 4.556 10.760 Å, 90.00 90.00 90.00°
Atoms (fractional coordinates):
Ac  0.000  0.500  0.244
Ac  0.500  0.000  0.756
Al  0.000  0.000  0.500
Ge  0.000  0.500  0.867
Ge  0.500  0.000  0.133
Ge  0.500  0.500  0.500
Au  0.000  0.000  0.000
Au  0.000  0.500  0.625
Au  0.500  0.000  0.375
Au  0.500  0.500  0.000

Output
* DOS at the Fermi energy: 0.449 states/eV/atom
* total moment: 0.0 Bohr magnetons per cell
* E_form: -646 meV/atom

***

12.
A plane-wave DFT calculation with PBE was carried out for a relaxed structure of Cd2Se.

Cell: 6.735 6.735 8.738 Å, 90.00 90.00 120.00°
Atoms (fractional coordinates):
Cd  0.000  0.000  0.000
Cd  0.000  0.000  0.500
Cd  0.168  0.336  0.250
Cd  0.168  0.832  0.250
Cd  0.336  0.168  0.750
Cd  0.664  0.832  0.250
Cd  0.832  0.168  0.750
Cd  0.832  0.664  0.750
Se  0.333  0.667  0.029
Se  0.333  0.667  0.471
Se  0.667  0.333  0.529
Se  0.667  0.333  0.971

Output
* DOS at the Fermi energy: 0.182 states/eV/atom
* E above lowest polymorph: 0.243 eV per atom
* total moment: 0.0 Bohr magnetons per cell